A plane-wave DFT calculation with PBEsol was carried out for an optimized crystal structure of Al2ZnRh. Values from VASP.

Cell and atoms, written as Quantum ESPRESSO input:
```
&SYSTEM
  ibrav = 0, nat = 8, ntyp = 3
/
ATOMIC_SPECIES
Al 26.98 Al.upf
Zn 65.41 Zn.upf
Rh 102.91 Rh.upf
ATOMIC_POSITIONS crystal
Al 0.000 0.500 0.250
Al 0.000 0.500 0.750
Al 0.500 0.000 0.250
Al 0.500 0.000 0.750
Zn 0.000 0.000 0.000
Zn 0.500 0.500 0.500
Rh 0.000 0.000 0.500
Rh 0.500 0.500 0.000
CELL_PARAMETERS angstrom
3.870 0.000 0.000
0.000 3.870 0.000
0.000 0.000 7.365
```

Computed properties:
As for the total energy: -40.03 eV for the cell shown. The symmetry is I4/mmm, No. 139.